6
Lattice="-1.655 0.479 -4.298 -3.650 -2.501 -1.368 -4.090 2.059 -0.690" Properties=species:S:1:pos:R:3 comment="GGA-PBEsol YBe4Ir, optimized geometry" formation_energy_ev_per_atom=-0.383 sg="F-43m (216)" pbc="T T T"
Y 0.000 0.000 0.000
Be -3.551 0.014 -2.402
Be -5.548 1.019 -2.739
Be -4.359 0.248 -4.501
Be -5.333 -1.207 -3.070
Ir -7.046 0.028 -4.767

5
Lattice="-2.600 3.780 -0.059 -3.243 -2.194 2.391 2.831 2.036 5.707" Properties=species:S:1:pos:R:3 comment="GGA-PBEsol Cr2GaICl, optimized geometry" e_form_raw_ev_per_atom=0.698 sg="P4/mmm (123)" pbc="T T T"
I 1.415 1.018 2.853
Cr -1.622 -1.097 1.196
Cr -1.300 1.890 -0.029
Ga -1.507 1.811 4.020
Cl 0.000 0.000 0.000

no.,raw total energy (eV per atom)
1,-5.82
2,-4.82